Sr2TaBr: relaxed, GGA-PBE.

Geometry as POSCAR:
```
Sr2TaBr
1.0
8.037 0.000 0.000
0.000 8.037 0.000
0.000 0.000 8.037
Sr Ta Br
8 4 4
Direct
0.000 0.000 0.000
0.000 0.500 0.500
0.250 0.250 0.250
0.250 0.750 0.750
0.500 0.000 0.500
0.500 0.500 0.000
0.750 0.250 0.750
0.750 0.750 0.250
0.250 0.250 0.750
0.250 0.750 0.250
0.750 0.250 0.250
0.750 0.750 0.750
0.000 0.000 0.500
0.000 0.500 0.000
0.500 0.000 0.000
0.500 0.500 0.500
```

Sr2TaBr: relaxed, GGA-PBE.

Geometry as POSCAR:
```
Sr2TaBr
1.0
4.622 0.000 0.000
0.000 4.622 0.000
0.000 0.000 6.598
Sr Ta Br
2 1 1
Direct
0.000 0.000 0.000
0.500 0.500 0.465
0.000 0.000 0.496
0.500 0.500 0.973
```

Sr3TaBr: relaxed, GGA-PBE.

Geometry as POSCAR:
```
Sr3TaBr
1.0
6.049 0.000 0.000
0.000 6.049 0.000
0.000 0.000 6.049
Sr Ta Br
3 1 1
Direct
0.000 0.000 0.500
0.000 0.500 0.000
0.500 0.000 0.000
0.000 0.000 0.000
0.500 0.500 0.500
```

Sr2TaBr: relaxed, GGA-PBE.

Geometry as POSCAR:
```
Sr2TaBr
1.0
12.559 0.000 0.000
0.000 3.520 0.000
-0.009 0.000 5.787
Sr Ta Br
4 2 2
Direct
0.000 0.000 0.000
0.237 0.500 0.501
0.500 0.500 0.000
0.737 0.000 0.501
0.477 0.000 0.500
0.977 0.500 0.500
0.262 0.000 0.001
0.762 0.500 0.001
```

Sr2TaBr: relaxed, GGA-PBE.

Geometry as POSCAR:
```
Sr2TaBr
1.0
6.021 0.000 0.000
0.000 6.021 0.000
0.000 0.000 3.485
Sr Ta Br
2 1 1
Direct
0.000 0.500 0.000
0.500 0.000 0.000
0.000 0.000 0.500
0.500 0.500 0.500
```

Sr2TaBr: relaxed, GGA-PBE.

Geometry as POSCAR:
```
Sr2TaBr
1.0
8.185 0.000 0.000
0.000 8.185 0.000
0.000 0.000 8.185
Sr Ta Br
8 4 4
Direct
0.250 0.250 0.250
0.250 0.250 0.750
0.250 0.750 0.250
0.250 0.750 0.750
0.750 0.250 0.250
0.750 0.250 0.750
0.750 0.750 0.250
0.750 0.750 0.750
0.000 0.000 0.000
0.000 0.500 0.500
0.500 0.000 0.500
0.500 0.500 0.000
0.000 0.000 0.500
0.000 0.500 0.000
0.500 0.000 0.000
0.500 0.500 0.500
```

Sr3TaBr: relaxed, GGA-PBE.

Geometry as POSCAR:
```
Sr3TaBr
1.0
5.855 0.000 0.000
0.000 5.855 0.000
0.000 0.000 5.855
Sr Ta Br
3 1 1
Direct
0.000 0.000 0.500
0.000 0.500 0.000
0.500 0.000 0.000
0.500 0.500 0.500
0.000 0.000 0.000
```

Sr2TaBr: relaxed, GGA-PBE.

Geometry as POSCAR:
```
Sr2TaBr
1.0
4.032 0.000 0.000
0.000 7.120 0.000
0.000 0.000 10.333
Sr Ta Br
4 2 2
Direct
0.000 0.000 0.223
0.000 0.000 0.777
0.500 0.500 0.277
0.500 0.500 0.723
0.000 0.500 0.000
0.500 0.000 0.500
0.000 0.500 0.500
0.500 0.000 0.000
```

Sr2TaBr: relaxed, GGA-PBE.

Geometry as POSCAR:
```
Sr2TaBr
1.0
3.519 0.000 0.000
0.000 3.519 0.000
0.000 0.000 9.485
Sr Ta Br
2 1 1
Direct
0.000 0.000 0.248
0.000 0.000 0.752
0.500 0.500 0.500
0.500 0.500 0.000
```

Sr2TaBr: relaxed, GGA-PBE.

Geometry as POSCAR:
```
Sr2TaBr
1.0
4.655 0.000 0.000
0.000 4.655 0.000
0.000 0.000 12.597
Sr Ta Br
4 2 2
Direct
0.000 0.000 0.000
0.000 0.500 0.250
0.500 0.000 0.750
0.500 0.500 0.500
0.000 0.500 0.750
0.500 0.000 0.250
0.000 0.000 0.500
0.500 0.500 0.000
```

Sr2TaBr: relaxed, GGA-PBE.

Geometry as POSCAR:
```
Sr2TaBr
1.0
3.434 0.000 0.000
0.000 5.833 0.000
0.000 0.000 12.003
Sr Ta Br
4 2 2
Direct
0.000 0.000 0.000
0.000 0.500 0.193
0.500 0.000 0.693
0.500 0.500 0.500
0.000 0.500 0.758
0.500 0.000 0.258
0.000 0.000 0.448
0.500 0.500 0.948
```

Sr2TaBr: relaxed, GGA-PBE.

Geometry as POSCAR:
```
Sr2TaBr
1.0
8.649 0.000 0.000
0.000 8.649 0.000
0.000 0.000 8.138
Sr Ta Br
8 4 4
Direct
0.221 0.250 0.125
0.250 0.721 0.375
0.250 0.779 0.875
0.279 0.250 0.625
0.721 0.750 0.625
0.750 0.221 0.875
0.750 0.279 0.375
0.779 0.750 0.125
0.000 0.000 0.500
0.000 0.500 0.750
0.500 0.000 0.250
0.500 0.500 0.000
0.000 0.000 0.000
0.000 0.500 0.250
0.500 0.000 0.750
0.500 0.500 0.500
```

Sr2TbBr: relaxed, GGA-PBE.

Geometry as POSCAR:
```
Sr2TbBr
1.0
3.882 0.000 0.000
-1.941 3.362 0.000
0.000 0.000 35.882
Sr Tb Br
6 3 3
Direct
0.000 0.000 0.101
0.000 0.000 0.899
0.333 0.667 0.566
0.333 0.667 0.768
0.667 0.333 0.232
0.667 0.333 0.434
0.000 0.000 0.000
0.333 0.667 0.667
0.667 0.333 0.333
0.000 0.000 0.500
0.333 0.667 0.167
0.667 0.333 0.833
```

SrTbBr5: relaxed, GGA-PBE.

Geometry as POSCAR:
```
SrTbBr5
1.0
8.531 0.000 0.000
0.000 4.327 0.000
-0.919 0.000 13.958
Sr Tb Br
2 2 10
Direct
0.089 0.250 0.143
0.911 0.750 0.857
0.423 0.750 0.352
0.577 0.250 0.648
0.090 0.750 0.320
0.144 0.250 0.926
0.326 0.250 0.481
0.365 0.750 0.147
0.382 0.750 0.698
0.618 0.250 0.302
0.635 0.250 0.853
0.674 0.750 0.519
0.856 0.750 0.074
0.910 0.250 0.680
```

Sr2TbBr6: relaxed, GGA-PBE.

Geometry as POSCAR:
```
Sr2TbBr6
1.0
7.293 0.000 0.000
0.000 7.293 0.000
0.000 0.000 12.811
Sr Tb Br
4 2 12
Direct
0.000 0.000 0.176
0.000 0.000 0.824
0.500 0.500 0.324
0.500 0.500 0.676
0.000 0.000 0.500
0.500 0.500 0.000
0.205 0.205 0.347
0.205 0.205 0.653
0.215 0.215 0.000
0.285 0.715 0.500
0.295 0.705 0.153
0.295 0.705 0.847
0.705 0.295 0.153
0.705 0.295 0.847
0.715 0.285 0.500
0.785 0.785 0.000
0.795 0.795 0.347
0.795 0.795 0.653
```

SrTc2Br: relaxed, GGA-PBE.

Geometry as POSCAR:
```
SrTc2Br
1.0
3.245 0.000 0.000
0.000 5.311 0.000
0.000 0.000 5.948
Sr Tc Br
1 2 1
Direct
0.000 0.000 0.000
0.500 0.500 0.178
0.500 0.500 0.822
0.000 0.000 0.500
```

SrTcBr3: relaxed, GGA-PBE.

Geometry as POSCAR:
```
SrTcBr3
1.0
5.922 0.000 0.000
0.000 5.922 0.000
0.000 0.000 5.922
Sr Tc Br
1 1 3
Direct
0.000 0.000 0.000
0.500 0.500 0.500
0.000 0.000 0.500
0.000 0.500 0.000
0.500 0.000 0.000
```

SrTc2Br: relaxed, GGA-PBE.

Geometry as POSCAR:
```
SrTc2Br
1.0
4.745 0.000 0.000
0.000 4.745 0.000
0.000 0.000 17.726
Sr Tc Br
4 8 4
Direct
0.000 0.000 0.000
0.000 0.500 0.250
0.500 0.000 0.750
0.500 0.500 0.500
0.052 0.250 0.625
0.250 0.552 0.875
0.250 0.948 0.375
0.448 0.250 0.125
0.552 0.750 0.125
0.750 0.052 0.375
0.750 0.448 0.875
0.948 0.750 0.625
0.000 0.000 0.500
0.000 0.500 0.750
0.500 0.000 0.250
0.500 0.500 0.000
```

SrTc2Br: relaxed, GGA-PBE.

Geometry as POSCAR:
```
SrTc2Br
1.0
3.403 0.000 0.000
0.000 5.722 0.000
-0.030 0.000 4.479
Sr Tc Br
1 2 1
Direct
0.000 0.000 0.000
0.340 0.500 0.750
0.660 0.500 0.250
0.500 0.000 0.500
```

SrTc3Br: relaxed, GGA-PBE.

Geometry as POSCAR:
```
SrTc3Br
1.0
4.710 0.000 0.000
0.000 4.710 0.000
0.000 0.000 4.710
Sr Tc Br
1 3 1
Direct
0.000 0.000 0.000
0.000 0.500 0.500
0.500 0.000 0.500
0.500 0.500 0.000
0.500 0.500 0.500
```

SrTc2Br: relaxed, GGA-PBE.

Geometry as POSCAR:
```
SrTc2Br
1.0
3.174 0.000 0.000
0.000 3.174 0.000
0.000 0.000 7.964
Sr Tc Br
1 2 1
Direct
0.000 0.000 0.000
0.500 0.500 0.314
0.500 0.500 0.686
0.000 0.000 0.500
```

SrTc2Br: relaxed, GGA-PBE.

Geometry as POSCAR:
```
SrTc2Br
1.0
5.492 0.000 0.000
0.000 11.659 0.000
-2.100 0.000 2.684
Sr Tc Br
2 4 2
Direct
0.000 0.000 0.000
0.500 0.500 0.000
0.250 0.250 0.000
0.250 0.750 0.000
0.750 0.250 0.000
0.750 0.750 0.000
0.000 0.500 0.000
0.500 0.000 0.000
```

SrTc2Br: relaxed, GGA-PBE.

Geometry as POSCAR:
```
SrTc2Br
1.0
3.879 0.000 0.000
0.000 3.879 0.000
0.000 0.000 6.118
Sr Tc Br
1 2 1
Direct
0.000 0.000 0.000
0.500 0.500 0.325
0.500 0.500 0.675
0.000 0.000 0.500
```

SrTc2Br: relaxed, GGA-PBE.

Geometry as POSCAR:
```
SrTc2Br
1.0
12.224 0.000 0.000
0.000 3.590 0.000
-1.391 0.000 4.626
Sr Tc Br
2 4 2
Direct
0.000 0.000 0.000
0.500 0.500 0.000
0.221 0.500 0.843
0.279 0.000 0.157
0.721 0.000 0.843
0.779 0.500 0.157
0.000 0.500 0.500
0.500 0.000 0.500
```

SrTc2Br: relaxed, GGA-PBE.

Geometry as POSCAR:
```
SrTc2Br
1.0
3.646 0.000 0.000
0.000 5.889 0.000
0.000 0.000 9.088
Sr Tc Br
2 4 2
Direct
0.000 0.000 0.000
0.500 0.500 0.500
0.000 0.000 0.513
0.000 0.500 0.172
0.500 0.000 0.672
0.500 0.500 0.013
0.000 0.500 0.782
0.500 0.000 0.282
```

SrTc2Br: relaxed, GGA-PBE.

Geometry as POSCAR:
```
SrTc2Br
1.0
3.262 0.000 0.000
0.000 3.262 0.000
0.000 0.000 8.257
Sr Tc Br
1 2 1
Direct
0.000 0.000 0.000
0.000 0.000 0.429
0.500 0.500 0.292
0.500 0.500 0.747
```

SrTc3Br: relaxed, GGA-PBE.

Geometry as POSCAR:
```
SrTc3Br
1.0
5.327 0.000 0.000
0.000 5.327 0.000
0.000 0.000 5.327
Sr Tc Br
1 3 1
Direct
0.000 0.000 0.000
0.000 0.000 0.500
0.000 0.500 0.000
0.500 0.000 0.000
0.500 0.500 0.500
```

SrTcBr3: relaxed, GGA-PBE.

Geometry as POSCAR:
```
SrTcBr3
1.0
5.201 0.000 0.000
0.000 5.201 0.000
0.000 0.000 5.201
Sr Tc Br
1 1 3
Direct
0.000 0.000 0.000
0.500 0.500 0.500
0.000 0.500 0.500
0.500 0.000 0.500
0.500 0.500 0.000
```

Number 1: Fermi-level density of states 10.798 states/eV/cell, uncorrected formation energy 782 meV/atom, raw total energy -3.4403 eV per atom. Number 2: Fermi-level density of states 3.836 states/eV/cell, uncorrected formation energy 383 meV/atom, raw total energy -3.8398 eV per atom. Number 3: Fermi-level density of states 6.833 states/eV/cell, uncorrected formation energy 638 meV/atom, raw total energy -3.0761 eV per atom. Number 4: Fermi-level density of states 8.091 states/eV/cell, uncorrected formation energy 245 meV/atom, raw total energy -3.9770 eV per atom. Number 5: Fermi-level density of states 4.569 states/eV/cell, uncorrected formation energy 225 meV/atom, raw total energy -3.9971 eV per atom. Number 6: Fermi-level density of states 17.962 states/eV/cell, uncorrected formation energy 529 meV/atom, raw total energy -3.6929 eV per atom. Number 7: Fermi-level density of states 3.384 states/eV/cell, uncorrected formation energy 463 meV/atom, raw total energy -3.2517 eV per atom. Number 8: Fermi-level density of states 9.964 states/eV/cell, uncorrected formation energy 514 meV/atom, raw total energy -3.7078 eV per atom. Number 9: Fermi-level density of states 3.605 states/eV/cell, uncorrected formation energy -40 meV/atom, raw total energy -4.2627 eV per atom. Number 10: Fermi-level density of states 5.524 states/eV/cell, uncorrected formation energy 493 meV/atom, raw total energy -3.7295 eV per atom. Number 11: Fermi-level density of states 8.332 states/eV/cell, uncorrected formation energy 283 meV/atom, raw total energy -3.9396 eV per atom. Number 12: Fermi-level density of states 21.194 states/eV/cell, uncorrected formation energy 531 meV/atom, raw total energy -3.6912 eV per atom. Number 13: Fermi-level density of states 10.741 states/eV/cell, uncorrected formation energy -374 meV/atom, raw total energy -2.7904 eV per atom. Number 14: Fermi-level density of states 0.000 states/eV/cell, uncorrected formation energy -1938 meV/atom, raw total energy -4.0342 eV per atom. Number 15: Fermi-level density of states 4.013 states/eV/cell, uncorrected formation energy -1852 meV/atom, raw total energy -3.8552 eV per atom. Number 16: Fermi-level density of states 4.040 states/eV/cell, uncorrected formation energy 772 meV/atom, raw total energy -5.2499 eV per atom. Number 17: Fermi-level density of states 10.441 states/eV/cell, uncorrected formation energy -238 meV/atom, raw total energy -3.6516 eV per atom. Number 18: Fermi-level density of states 15.040 states/eV/cell, uncorrected formation energy 695 meV/atom, raw total energy -5.3262 eV per atom. Number 19: Fermi-level density of states 4.717 states/eV/cell, uncorrected formation energy 536 meV/atom, raw total energy -5.4861 eV per atom. Number 20: Fermi-level density of states 6.141 states/eV/cell, uncorrected formation energy 1279 meV/atom, raw total energy -5.6115 eV per atom. Number 21: Fermi-level density of states 6.359 states/eV/cell, uncorrected formation energy 1171 meV/atom, raw total energy -4.8504 eV per atom. Number 22: Fermi-level density of states 7.509 states/eV/cell, uncorrected formation energy 627 meV/atom, raw total energy -5.3944 eV per atom. Number 23: Fermi-level density of states 2.021 states/eV/cell, uncorrected formation energy 1003 meV/atom, raw total energy -5.0189 eV per atom. Number 24: Fermi-level density of states 5.440 states/eV/cell, uncorrected formation energy 280 meV/atom, raw total energy -5.7419 eV per atom. Number 25: Fermi-level density of states 9.314 states/eV/cell, uncorrected formation energy 459 meV/atom, raw total energy -5.5627 eV per atom. Number 26: Fermi-level density of states 3.617 states/eV/cell, uncorrected formation energy 95 meV/atom, raw total energy -5.9268 eV per atom. Number 27: Fermi-level density of states 5.120 states/eV/cell, uncorrected formation energy 2863 meV/atom, raw total energy -4.0278 eV per atom. Number 28: Fermi-level density of states 5.669 states/eV/cell, uncorrected formation energy -496 meV/atom, raw total energy -3.9088 eV per atom.